# 1
A plane-wave DFT calculation with GGA-PBE was carried out for a relaxed structure of Cs3Ac2InO6.

**N(E_F)**: 0.000 states/eV/atom
**Formation energy without anion corrections**: -2.079 eV/atom
**Calculated total energy**: -68.2 eV/cell
**Calculated density**: 6.91 g/cm3
**Volume**: 255.6 Å³/f.u.

Cell and atoms, written as POSCAR:
```
Cs3Ac2InO6
1.0
6.507 -0.001 0.007
-3.253 5.636 0.007
-1.078 -1.866 6.965
Cs Ac In O
3 2 1 6
Direct
0.162 0.838 0.500
0.838 0.162 0.500
0.500 0.500 0.500
0.333 0.667 0.000
0.667 0.333 0.000
0.000 0.000 0.000
0.942 0.635 0.828
0.747 0.747 0.175
0.058 0.365 0.172
0.635 0.942 0.828
0.253 0.253 0.825
0.365 0.058 0.172
```

# 2
A plane-wave DFT calculation with GGA-PBE was carried out for a relaxed structure of PmNd2Cu3.

**N(E_F)**: 0.693 states/eV/atom
**Calculated total energy**: -54.9 eV/cell
**Calculated density**: 7.48 g/cm3
**Energy relative to the elements**: -0.1458 eV per atom
**Volume**: 138.5 Å³/f.u.
**Distance to the lowest polymorph of the same formula**: 0.005 eV per atom

Cell and atoms, written as POSCAR:
```
PmNd2Cu3
1.0
2.525 -7.578 0.000
2.525 7.578 0.000
0.000 0.000 7.237
Pm Nd Cu
2 4 6
Direct
0.333 0.667 0.000
0.667 0.333 0.000
0.000 0.000 0.000
0.000 0.000 0.500
0.333 0.667 0.500
0.667 0.333 0.500
0.832 0.168 0.755
0.500 0.500 0.247
0.168 0.832 0.245
0.832 0.168 0.245
0.168 0.832 0.755
0.500 0.500 0.753
```

# 3
A plane-wave DFT calculation with GGA-PBE was carried out for a relaxed structure of TlAuO3.

**N(E_F)**: 1.655 states/eV/atom
**Formation energy without anion corrections**: 0.618 eV/atom
**Calculated total energy**: -17.4 eV/cell
**Calculated density**: 9.99 g/cm3
**Volume**: 74.7 Å³/f.u.

Cell and atoms, written as POSCAR:
```
TlAuO3
1.0
4.211 0.000 0.000
0.000 4.211 0.000
0.000 0.000 4.211
Tl Au O
1 1 3
Direct
0.000 0.000 0.000
0.500 0.500 0.500
0.000 0.500 0.000
0.000 0.000 0.500
0.500 0.000 0.000
```

# 4
A plane-wave DFT calculation with GGA-PBE was carried out for a relaxed structure of Br3Cl4O2.

**N(E_F)**: 0.308 states/eV/atom
**Formation energy without anion corrections**: 0.144 eV/atom
**Calculated total energy**: -42.1 eV/cell
**Calculated density**: 2.23 g/cm3
**Volume**: 308.1 Å³/f.u.

Cell and atoms, written as POSCAR:
```
Br3Cl4O2
1.0
7.639 -7.856 0.000
7.639 7.856 0.000
0.000 0.000 5.134
Br Cl O
6 8 4
Direct
0.728 0.272 0.250
0.272 0.728 0.250
0.272 0.728 0.750
0.728 0.272 0.750
0.500 0.500 0.750
0.500 0.500 0.250
0.222 0.208 0.500
0.208 0.222 0.000
0.778 0.792 0.500
0.792 0.778 0.000
0.945 0.573 0.000
0.573 0.945 0.500
0.055 0.427 0.000
0.427 0.055 0.500
0.967 0.544 0.500
0.544 0.967 0.000
0.033 0.456 0.500
0.456 0.033 0.000
```

# 5
A plane-wave DFT calculation with GGA-PBE was carried out for a relaxed structure of Os3PbN.

**N(E_F)**: 0.834 states/eV/atom
**Formation energy without anion corrections**: 1.046 eV/atom
**Calculated total energy**: -40.5 eV/cell
**Calculated density**: 17.93 g/cm3
**Volume**: 73.4 Å³/f.u.
**Distance to the lowest polymorph of the same formula**: 0.000 eV per atom

Cell and atoms, written as POSCAR:
```
Os3PbN
1.0
4.186 0.000 0.000
0.000 4.186 0.000
0.000 0.000 4.186
Pb Os N
1 3 1
Direct
0.500 0.500 0.500
0.000 0.500 0.000
0.000 0.000 0.500
0.500 0.000 0.000
0.000 0.000 0.000
```